Density functional theory data (PBE-GGA) for a geometry-optimized Li2ScTc structure.

Properties
**Energy above the most stable polymorph in this dataset**: 1.76 kcal/mol of atoms
**SG**: Pmm2
**E_form**: 0.219 eV per atom
**Density**: 3.8 g/cm3
**Calculated volume**: 17.27 A^3/atom

```
Li2ScTc
1.0
-2.7332 -0.1214 -0.2304
0.3926 -1.9575 -3.6262
-0.0059 -5.3485 2.8867
Li Tc Sc
2 1 1
direct
0.5000 0.5000 0.2254
0.0000 0.0000 0.9935
0.5000 0.5000 0.7465
0.0000 0.0000 0.5346
```